Record 1
A geometry-optimized Sr3LiRh structure. Source: the Alexandria database, functional PBE-GGA.

Values from the calculation:
- Theoretical density: 3.5 Mg/m³
- Energy relative to the lowest polymorph listed for this composition: 5 meV per atom
- ΔH_f (0 K): -142 meV/atom

abc: 7.5335 11.7004 4.2403
angles: 100.45 106.36 93.85
With the nearest neighbours (Å) after each atom.
Fractional positions:
Rh 0.9462 0.3267 0.5068  3 Li 2.57-2.76
Rh 0.7544 0.9028 0.6997  7 Sr 3.04-3.23, 1 Li 3.33
Sr 0.5010 0.7663 0.0046  2 Rh 3.10
Sr 0.2112 0.4481 0.2004  2 Rh 3.07, 3 Li 3.38-3.40
Sr 0.0581 0.9338 0.3669  2 Rh 3.04, 1 Li 3.38
Sr 0.6803 0.3801 0.9006  2 Rh 2.98
Sr 0.6197 0.0859 0.2231  3 Rh 3.22-3.41, 2 Li 3.38
Sr 0.9000 0.6525 0.6472  1 Rh 3.19
Li 0.9725 0.1757 0.9445  2 Rh 2.76, 2 Li 2.86
Li 0.2377 0.2194 0.5993  1 Rh 2.57, 2 Li 2.86

=====

Record 2
A geometry-optimized TePd2Se3 structure. Source: the Alexandria database, functional PBE-GGA.

Values from the calculation:
- Theoretical density: 7.4 Mg/m³
- Energy relative to the elements, uncorrected: -0.285 eV/atom

abc: 3.8860 6.2927 11.4452
angles: 79.75 79.96 72.13
With the nearest neighbours (Å) after each atom.
Fractional positions:
Se 0.0990 0.0253 0.7705  3 Pd 2.58-2.59
Se 0.6439 0.7428 0.9763  3 Pd 2.56-2.58
Se 0.9010 0.9747 0.2295  3 Pd 2.58-2.59
Se 0.8537 0.7637 0.5229  3 Pd 2.57-2.58
Se 0.1463 0.2363 0.4771  3 Pd 2.57-2.58
Se 0.3561 0.2572 0.0237  3 Pd 2.56-2.58
Te 0.3865 0.5095 0.7227  3 Pd 2.67-2.68
Te 0.6135 0.4905 0.2773  3 Pd 2.67-2.68
Pd 0.3750 0.8728 0.3771  5 Se 2.57-2.58, 1 Te 2.68
Pd 0.8699 0.3790 0.8798  4 Se 2.56-2.59, 2 Te 2.67-2.68
Pd 0.1301 0.6210 0.1202  4 Se 2.56-2.59, 2 Te 2.67-2.68
Pd 0.6250 0.1272 0.6229  5 Se 2.57-2.58, 1 Te 2.68

=====

Record 3
A geometry-optimized NiCl2 structure. Source: the Alexandria database, functional PBE-GGA.

Values from the calculation:
- Theoretical density: 2.8 Mg/m³
- Energy relative to the elements, uncorrected: -0.371 eV/atom

abc: 6.6486 6.6486 7.2328
angles: 85.91 85.91 28.76
With the nearest neighbours (Å) after each atom.
Fractional positions:
Cl 0.6849 0.6849 0.1471  2 Ni 2.32
Cl 0.4287 0.4287 0.4589  2 Ni 2.21
Cl 0.9064 0.9064 0.9301  1 Ni 2.23
Cl 0.6942 0.6942 0.7109  1 Ni 2.23
Ni 0.8650 0.8650 0.6367  4 Cl 2.21-2.23
Ni 0.2541 0.2541 0.9497  6 Cl 2.32-2.56

=====

Record 4
A geometry-optimized PtWAu2 structure. Source: the Alexandria database, functional PBE-GGA.

Values from the calculation:
- Theoretical density: 19.1 Mg/m³
- Energy relative to the lowest polymorph listed for this composition: 185 meV per atom
- ΔH_f (0 K): 185 meV/atom

abc: 9.5104 9.5104 9.5104
angles: 17.39 17.39 17.39
With the nearest neighbours (Å) after each atom.
Fractional positions:
Pt 0.2500 0.2500 0.2500  6 Pt 2.87, 6 Au 2.90
W 0.7500 0.7500 0.7500  6 Au 2.84, 6 W 2.87
Au 0.4989 0.4989 0.4989  3 W 2.84, 6 Au 2.87, 3 Pt 2.90
Au 0.0011 0.0011 0.0011  3 W 2.84, 6 Au 2.87, 3 Pt 2.90

=====

Record 5
A geometry-optimized NdMg10Zn2 structure. Source: the Alexandria database, functional PBE-GGA.

Values from the calculation:
- Theoretical density: 3.0 Mg/m³
- ΔH_f (0 K): -92 meV/atom

abc: 5.8093 7.6181 7.6493
angles: 81.68 67.68 67.59
With the nearest neighbours (Å) after each atom.
Fractional positions:
Mg 0.5084 0.7771 0.2061  2 Zn 2.84, 5 Mg 2.92-3.14
Mg 0.4916 0.2229 0.7939  2 Zn 2.84, 5 Mg 2.92-3.14
Mg 0.0115 0.6404 0.3366  2 Zn 2.96, 6 Mg 3.04-3.20
Mg 0.0000 0.0000 0.5000  10 Mg 2.90-3.14
Mg 0.3481 0.6404 0.6634  2 Zn 2.96, 6 Mg 3.04-3.20
Mg 0.5000 0.0000 0.5000  10 Mg 2.90-3.14
Mg 0.9885 0.3596 0.6634  2 Zn 2.96, 6 Mg 3.04-3.20
Mg 0.2855 0.2229 0.2061  2 Zn 2.84, 5 Mg 2.92-3.14
Mg 0.7145 0.7771 0.7939  2 Zn 2.84, 5 Mg 2.92-3.14
Mg 0.6519 0.3596 0.3366  2 Zn 2.96, 6 Mg 3.04-3.20
Zn 0.5000 0.5000 0.0000  8 Mg 2.84-2.96, 2 Zn 2.90
Zn 0.0000 0.5000 0.0000  8 Mg 2.84-2.96, 2 Zn 2.90
Nd 0.0000 0.0000 0.0000  16 Mg 3.48-3.82, 4 Zn 3.81

=====

Record 6
A geometry-optimized TlZnRe2 structure. Source: the Alexandria database, functional PBE-GGA.

Values from the calculation:
- Theoretical density: 15.8 Mg/m³
- Energy relative to the lowest polymorph listed for this composition: 413 meV per atom
- ΔH_f (0 K): 788 meV/atom

abc: 4.8180 4.8180 4.8180
angles: 130.49 124.98 77.14
With the nearest neighbours (Å) after each atom.
Fractional positions:
Re 0.9799 0.9799 0.0000  2 Re 2.56, 4 Zn 2.84
Re 0.7699 0.2699 0.5000  2 Re 2.56, 4 Tl 2.84-2.85
Tl 0.5055 0.5055 0.0000  4 Zn 2.82-2.86, 8 Re 2.84-3.01
Zn 0.2447 0.7447 0.5000  4 Tl 2.82-2.86, 8 Re 2.84-3.01

=====

Record 7
A geometry-optimized CsEuO3 structure. Source: the Alexandria database, functional PBE-GGA.

Values from the calculation:
- Theoretical density: 5.8 Mg/m³
- Energy relative to the elements, uncorrected: -1.559 eV/atom

abc: 4.5777 4.5777 4.5777
angles: 90.00 90.00 90.00
With the nearest neighbours (Å) after each atom.
Fractional positions:
O 0.5000 0.0000 0.5000  2 Eu 2.29
O 0.5000 0.5000 0.0000  2 Eu 2.29
O 0.0000 0.5000 0.5000  2 Eu 2.29
Eu 0.5000 0.5000 0.5000  6 O 2.29
Cs 0.0000 0.0000 0.0000  12 O 3.24

=====

Record 8
A geometry-optimized AlTl2Ir structure. Source: the Alexandria database, functional PBE-GGA.

Values from the calculation:
- Theoretical density: 11.4 Mg/m³
- Energy relative to the lowest polymorph listed for this composition: 230 meV per atom
- ΔH_f (0 K): 164 meV/atom

abc: 6.9933 6.9933 6.9933
angles: 154.99 140.78 47.08
With the nearest neighbours (Å) after each atom.
Fractional positions:
Tl 0.7467 0.2467 0.5000  4 Ir 2.82, 2 Tl 3.03
Tl 0.0486 0.0486 0.0000  2 Tl 3.03, 4 Al 3.18, 2 Ir 3.27
Al 0.4298 0.4298 0.0000  2 Ir 2.50
Ir 0.2749 0.7749 0.5000  2 Al 2.50

=====

These records have V values of 34.99, 21.66, 25.57, 16.75, 22.27, 16.91, 19.19, 22.79 Å³ per atom, in the order they appear.
These records have N(E_F) values of 7.65, 5.49, 4.30, 1.77, 5.30, 3.14, 6.31, 1.68 states/eV/cell, in the order they appear.
These records have DFT total energy values of -3.0037, -4.2821, -3.5296, -6.2017, -1.8810, -6.3465, -6.7592, -4.1701 eV/atom, in the order they appear.